1.
Entry from the Open Quantum Materials Database: a relaxed Sc5Re8Si12 crystal (PBE).

V in A^3/atom: 15.06
DFT total energy in eV/atom: -8.452
SG: Amm2 (38)
ρ in g cm⁻³: 9.049

Cell lengths 14.519, 10.219, 10.219 Å; angles 150.23, 90.00, 90.00 degrees
Positions (direct):
Sc1 0.000 0.000 0.000
Sc2 0.173 0.576 0.847
Sc3 0.173 0.847 0.576
Sc4 0.324 0.075 0.343
Sc5 0.324 0.343 0.075
Sc6 0.500 0.478 0.478
Sc7 0.676 0.075 0.343
Sc8 0.676 0.343 0.075
Sc9 0.827 0.576 0.847
Sc10 0.827 0.847 0.576
Re1 0.000 0.363 0.565
Re2 0.000 0.565 0.363
Re3 0.125 0.410 0.998
Re4 0.125 0.998 0.410
Re5 0.221 0.929 0.929
Re6 0.269 0.438 0.438
Re7 0.392 0.506 0.908
Re8 0.392 0.908 0.506
Re9 0.500 0.049 0.880
Re10 0.500 0.880 0.049
Re11 0.608 0.506 0.908
Re12 0.608 0.908 0.506
Re13 0.731 0.438 0.438
Re14 0.779 0.929 0.929
Re15 0.875 0.410 0.998
Re16 0.875 0.998 0.410
Si1 0.000 0.107 0.827
Si2 0.000 0.320 0.760
Si3 0.000 0.760 0.320
Si4 0.000 0.827 0.107
Si5 0.103 0.574 0.574
Si6 0.147 0.137 0.299
Si7 0.147 0.299 0.137
Si8 0.258 0.208 0.708
Si9 0.258 0.708 0.208
Si10 0.351 0.636 0.792
Si11 0.351 0.792 0.636
Si12 0.379 0.089 0.089
Si13 0.500 0.278 0.862
Si14 0.500 0.316 0.579
Si15 0.500 0.579 0.316
Si16 0.500 0.862 0.278
Si17 0.621 0.089 0.089
Si18 0.649 0.636 0.792
Si19 0.649 0.792 0.636
Si20 0.742 0.208 0.708
Si21 0.742 0.708 0.208
Si22 0.853 0.137 0.299
Si23 0.853 0.299 0.137
Si24 0.897 0.574 0.574

=====

2.
Entry from the Open Quantum Materials Database: a relaxed ScRe2Si2 crystal (PBE).

V in A^3/atom: 16.35
DFT total energy in eV/atom: -8.769
SG: I4/mmm (139)
ρ in g cm⁻³: 9.619

Cell lengths 5.866, 5.866, 5.866 Å; angles 140.27, 140.27, 57.44 degrees
Positions (direct):
Sc1 0.000 0.000 0.000
Re1 0.250 0.750 0.500
Re2 0.750 0.250 0.500
Si1 0.386 0.386 0.000
Si2 0.614 0.614 0.000

=====

3.
Entry from the Open Quantum Materials Database: a relaxed SmScRe crystal (PBE).

Calculated formation energy in meV/atom: 1224
V in A^3/atom: 24.05
Distance to the lowest polymorph of the same formula in meV/atom: 275.5
DFT total energy in eV/atom: -6.597
SG: F-43m (216)
ρ in g cm⁻³: 8.782

Cell lengths 4.673, 4.673, 4.673 Å; angles 60.00, 60.00, 60.00 degrees
Positions (direct):
Sm1 0.000 0.000 0.000
Sc1 0.250 0.250 0.250
Re1 0.750 0.750 0.750

=====

4.
Entry from the Open Quantum Materials Database: a relaxed SmScRe crystal (PBE).

Calculated formation energy in meV/atom: 948
V in A^3/atom: 23.64
Distance to the lowest polymorph of the same formula in meV/atom: 0.0
DFT total energy in eV/atom: -6.872
SG: F-43m (216)
ρ in g cm⁻³: 8.933

Cell lengths 4.646, 4.646, 4.646 Å; angles 60.00, 60.00, 60.00 degrees
Positions (direct):
Sm1 0.000 0.000 0.000
Sc1 0.750 0.750 0.750
Re1 0.500 0.500 0.500

=====

5.
Entry from the Open Quantum Materials Database: a relaxed ScRe2Sn crystal (PBE).

V in A^3/atom: 17.21
DFT total energy in eV/atom: -8.566
SG: F-43m (216)
ρ in g cm⁻³: 12.930

Cell lengths 4.600, 4.600, 4.600 Å; angles 60.00, 60.00, 60.00 degrees
Positions (direct):
Sc1 0.000 0.000 0.000
Re1 0.250 0.250 0.250
Re2 0.500 0.500 0.500
Sn1 0.750 0.750 0.750

=====

6.
Entry from the Open Quantum Materials Database: a relaxed Sr2ScRe crystal (PBE).

V in A^3/atom: 25.59
DFT total energy in eV/atom: -4.730
SG: F-43m (216)
ρ in g cm⁻³: 6.592

Cell lengths 5.251, 5.251, 5.251 Å; angles 60.00, 60.00, 60.00 degrees
Positions (direct):
Sr1 0.000 0.000 0.000
Sr2 0.250 0.250 0.250
Sc1 0.750 0.750 0.750
Re1 0.500 0.500 0.500